(1)
Here is a relaxed Li8Cd3Ag3 crystal from Alexandria via LeMat-Bulk. Energies are from PBE-GGA.

a = 4.548 Å, b = 10.199 Å, c = 10.849 Å
α = 90.00°, β = 90.00°, γ = 90.00°
Space group Immm (No. 71)
Asymmetric unit:
Li (0.000, 0.136, 0.117) (multiplicity 8)
Li (0.000, 0.363, 0.238) (multiplicity 8)
Cd (0.000, 0.212, 0.500) (multiplicity 4)
Cd (0.000, 0.500, 0.500) (multiplicity 2)
Ag (0.000, 0.000, 0.328) (multiplicity 4)
Ag (0.000, 0.500, 0.000) (multiplicity 2)

Summary:
**Calculated formation energy**: -0.123 eV per atom
**Crystal system**: orthorhombic
**Magnetic moment**: 0.00 μB/f.u.
**E_tot**: -56.7 eV for the cell shown

***

(2)
Here is a relaxed SrLa2In2Ag2 crystal from Alexandria via LeMat-Bulk. Energies are from PBE-GGA.

a = 4.9700 Å, b = 4.9700 Å, c = 29.2036 Å
α = 90.00°, β = 90.00°, γ = 120.00°
Space group R-3m (No. 166, hexagonal axes)
Asymmetric unit:
Sr (0.0000, 0.0000, 0.0000) (multiplicity 3)
La (0.0000, 0.0000, 0.1299) (multiplicity 6)
In (0.0000, 0.0000, 0.2567) (multiplicity 6)
Ag (0.0000, 0.0000, 0.4073) (multiplicity 6)

Summary:
**Calculated formation energy**: -0.322 eV per atom
**Crystal system**: trigonal
**Magnetic moment**: 0.00 μB/f.u.
**E_tot**: -74.9 eV for the cell shown

***

(3)
Here is a relaxed Ti2InCo2 crystal from Alexandria via LeMat-Bulk. Energies are from PBE-GGA.

a = 4.065 Å, b = 4.065 Å, c = 9.638 Å
α = 90.00°, β = 90.00°, γ = 90.00°
Space group I4/mmm (No. 139)
Asymmetric unit:
Ti (0.000, 0.500, 0.250) (multiplicity 4)
In (0.000, 0.000, 0.000) (multiplicity 2)
Co (0.000, 0.000, 0.386) (multiplicity 4)

Summary:
**Calculated formation energy**: -0.175 eV per atom
**Crystal system**: tetragonal
**Magnetic moment**: 0.00 μB/f.u.
**E_tot**: -67.2 eV for the cell shown

***

- Which of these has the highest calculated formation energy?
  Li8Cd3Ag3